1.
# TmCuAgPb

A geometry-optimized TmCuAgPb structure (PBE-GGA, Alexandria).

Its formation energy is -63.3 kJ/mol of formula units.

The structure belongs to space group F-43m (No. 216); the cell edges are 6.946, 6.946 and 6.946 Å and the angles 90.00°, 90.00° and 90.00°. The asymmetric unit holds Tm at (0.000, 0.000, 0.000), Cu at (0.250, 0.250, 0.250), Ag at (0.250, 0.250, 0.750) and Pb at (0.000, 0.000, 0.500).



2.
# Tl2HgAuCl

A geometry-optimized Tl2HgAuCl structure (PBE-GGA, Alexandria).

The calculation puts the uncorrected formation energy at -1.409 eV per formula unit.

The structure belongs to space group P4/mmm (No. 123); the cell edges are 5.686, 5.686 and 5.339 Å and the angles 90.00°, 90.00° and 90.00°. The asymmetric unit holds Tl at (0.000, 0.500, 0.000), Hg at (0.000, 0.000, 0.500), Au at (0.000, 0.000, 0.000) and Cl at (0.500, 0.500, 0.500).



3.
# CsCd6In4

A geometry-optimized CsCd6In4 structure (PBE-GGA, Alexandria).

Its formation energy is -34.2 kJ/mol of formula units.

The structure belongs to space group P-6m2 (No. 187); the cell edges are 8.4275, 8.4275 and 5.0652 Å and the angles 90.00°, 90.00° and 120.00°. The asymmetric unit holds Cs at (0.0000, 0.0000, 0.0000), Cd at (0.2053, 0.4106, 0.5000), Cd at (0.5390, 0.0780, 0.0000), In at (0.3333, 0.6667, 0.0000) and In at (0.4099, 0.2049, 0.5000).



4.
# K2CaSnBr6

A geometry-optimized K2CaSnBr6 structure (PBE-GGA, Alexandria).

The calculation puts the uncorrected formation energy at -15.399 eV per formula unit.

The structure belongs to space group R3 (No. 146, hexagonal axes); the cell edges are 7.9751, 7.9751 and 20.2079 Å and the angles 90.00°, 90.00° and 120.00°. The asymmetric unit holds K at (0.0000, 0.0000, 0.0000), K at (0.0000, 0.0000, 0.4986), Ca at (0.0000, 0.0000, 0.7853), Sn at (0.0000, 0.0000, 0.2849), Br at (0.0059, 0.6032, 0.0433) and Br at (0.0167, 0.4075, 0.5413).



Number 1: uncorrected energy -3.95 eV/atom. Number 2: uncorrected energy -2.31 eV/atom. Number 3: uncorrected energy -1.60 eV/atom. Number 4: uncorrected energy -3.36 eV/atom.